[1]
# SmNpTc4, relaxed, DFT PBE
data_SmNpTc4
_cell_length_a 7.6473
_cell_length_b 7.6473
_cell_length_c 7.6473
_cell_angle_alpha 90.00
_cell_angle_beta 90.00
_cell_angle_gamma 90.00
_symmetry_space_group_name_H-M 'F -4 3 m'
_symmetry_Int_Tables_number 216
_symmetry_space_group_name_Hall 'F -4 2 3'
loop_
_atom_site_label
_atom_site_fract_x
_atom_site_fract_y
_atom_site_fract_z
_atom_site_occupancy
Sm1 0.0000 0.0000 0.0000 1
Np1 0.2500 0.2500 0.2500 1
Tc1 0.1250 0.1250 0.6250 1
# D(E_F) (states/eV/atom): 2.581
# Volume (Å³ per atom): 18.63
# E_tot (eV/cell): -233.498
# Formation energy (eV per atom): 0.125

[2]
# RbBPb, relaxed, DFT PBE
data_RbBPb
_cell_length_a 3.2530
_cell_length_b 6.4979
_cell_length_c 8.2310
_cell_angle_alpha 83.32
_cell_angle_beta 89.99
_cell_angle_gamma 90.00
_symmetry_space_group_name_H-M 'P 1'
_symmetry_Int_Tables_number 1
_symmetry_space_group_name_Hall 'P 1'
loop_
_atom_site_label
_atom_site_fract_x
_atom_site_fract_y
_atom_site_fract_z
_atom_site_occupancy
Rb1 0.0000 0.0000 0.0000 1
Rb2 0.0002 0.1573 0.4849 1
B1 0.2574 0.4502 0.1284 1
B2 0.7469 0.4503 0.1284 1
Pb1 0.5004 0.6802 0.3592 1
Pb2 0.5012 0.5403 0.7937 1
# D(E_F) (states/eV/atom): 0.263
# Volume (Å³ per atom): 28.80
# E_tot (eV/cell): -21.415
# Formation energy (eV per atom): 0.215

[3]
# Dy5Er, relaxed, DFT PBE
data_Dy5Er
_cell_length_a 12.8408
_cell_length_b 3.6091
_cell_length_c 8.3869
_cell_angle_alpha 90.00
_cell_angle_beta 102.79
_cell_angle_gamma 90.00
_symmetry_space_group_name_H-M 'C 1 m 1'
_symmetry_Int_Tables_number 8
_symmetry_space_group_name_Hall 'C -2y'
loop_
_atom_site_label
_atom_site_fract_x
_atom_site_fract_y
_atom_site_fract_z
_atom_site_occupancy
Dy1 0.0000 0.0000 0.0000 1
Dy2 0.0552 0.0000 0.6122 1
Dy3 0.1666 0.5000 0.3339 1
Dy4 0.3326 0.0000 0.6682 1
Dy5 0.3884 0.0000 0.2775 1
Er1 0.2219 0.5000 0.9453 1
# Excess energy over the best structure of this formula in the dataset (meV per atom): 0
# D(E_F) (states/eV/atom): 1.714
# Volume (Å³ per atom): 31.59
# E_tot (eV/cell): -55.065
# Formation energy (eV per atom): 0.007

[4]
# ZrS2N, relaxed, DFT PBE
data_ZrS2N
_cell_length_a 3.6995
_cell_length_b 3.6995
_cell_length_c 25.5661
_cell_angle_alpha 90.00
_cell_angle_beta 90.00
_cell_angle_gamma 120.00
_symmetry_space_group_name_H-M 'R 3 m'
_symmetry_Int_Tables_number 160
_symmetry_space_group_name_Hall 'R 3 -2"'
loop_
_atom_site_label
_atom_site_fract_x
_atom_site_fract_y
_atom_site_fract_z
_atom_site_occupancy
Zr1 0.0000 0.0000 0.0000 1
S1 0.0000 0.0000 0.3901 1
S2 0.0000 0.0000 0.6098 1
N1 0.0000 0.0000 0.1684 1
# Volume (Å³ per atom): 25.25
# E_tot (eV/cell): -73.487

[5]
# HfGaAs2Br, relaxed, DFT PBE
data_HfGaAs2Br
_cell_length_a 4.8736
_cell_length_b 4.8736
_cell_length_c 4.9403
_cell_angle_alpha 90.00
_cell_angle_beta 90.00
_cell_angle_gamma 90.00
_symmetry_space_group_name_H-M 'P 4/m m m'
_symmetry_Int_Tables_number 123
_symmetry_space_group_name_Hall '-P 4 2'
loop_
_atom_site_label
_atom_site_fract_x
_atom_site_fract_y
_atom_site_fract_z
_atom_site_occupancy
Hf1 0.0000 0.0000 0.0000 1
Ga1 0.5000 0.5000 0.5000 1
As1 0.0000 0.5000 0.5000 1
Br1 0.5000 0.5000 0.0000 1
# Excess energy over the best structure of this formula in the dataset (meV per atom): 645
# D(E_F) (states/eV/atom): 0.629
# Volume (Å³ per atom): 23.47
# E_tot (eV/cell): -21.343

[6]
# Pu2PaIr, relaxed, DFT PBE
data_Pu2PaIr
_cell_length_a 6.9822
_cell_length_b 6.9822
_cell_length_c 6.9822
_cell_angle_alpha 90.00
_cell_angle_beta 90.00
_cell_angle_gamma 90.00
_symmetry_space_group_name_H-M 'F m -3 m'
_symmetry_Int_Tables_number 225
_symmetry_space_group_name_Hall '-F 4 2 3'
loop_
_atom_site_label
_atom_site_fract_x
_atom_site_fract_y
_atom_site_fract_z
_atom_site_occupancy
Pu1 0.2500 0.2500 0.2500 1
Pa1 0.0000 0.0000 0.0000 1
Ir1 0.0000 0.0000 0.5000 1
# Excess energy over the best structure of this formula in the dataset (meV per atom): 67
# D(E_F) (states/eV/atom): 3.042
# Volume (Å³ per atom): 21.27
# E_tot (eV/cell): -190.503
# Formation energy (eV per atom): -0.151